Entry 1:
Zr2SiRh (PBE, relaxed); SG = P2/m; density of states at the Fermi level = 0.82 states/eV/atom; energy relative to the elements, uncorrected = -0.625 eV per atom; V = 17.8 A^3/atom
1.0
-2.207 0.884 -2.983
0.510 -2.882 -1.231
-4.189 -4.943 1.635
Zr Si Rh
2 1 1
direct
0.000 0.501 0.501
0.000 0.999 0.999
0.500 0.750 0.750
0.500 0.250 0.250


Entry 2:
Zr2SiRh (PBE, relaxed); SG = P4mm; density of states at the Fermi level = 1.17 states/eV/atom; energy relative to the elements, uncorrected = -0.532 eV per atom; V = 17.9 A^3/atom
1.0
3.042 0.000 0.000
0.000 3.042 0.000
0.000 0.000 7.738
Si Zr Rh
1 2 1
direct
0.500 0.500 0.710
0.500 0.500 0.283
0.000 0.000 0.959
0.000 0.000 0.549